[1]
The following is a DFT calculation (PBE) of an optimized crystal structure of IrIBrN2.

a b c (Å): 3.8073 3.8073 8.5316
angles (deg): 90.00 90.00 90.00
Closest atoms and distances in Å follow each position.
Sites, in units of the cell vectors:
I  0.0000  0.0000  0.5000  4 Ir 2.69
Ir  0.5000  0.5000  0.5000  4 I 2.69
Br  0.0000  0.0000  0.0000  4 N 1.90
N  0.0000  0.5000  0.0000  2 Br 1.90
N  0.5000  0.0000  0.0000  2 Br 1.90

Computed properties:
Uncorrected energy: -16.4 eV per formula unit
Size of the total moment: 0.00 μB per formula unit
Space-group type: P4/mmm
ΔE_f (raw): 2474 meV/atom
Energy above the lowest structure with this stoichiometry: 139.51 kJ per mole of atoms

[2]
The following is a DFT calculation (PBE) of an optimized crystal structure of Nd4IrI2Br.

a b c (Å): 4.2115 7.8795 8.2836
angles (deg): 107.46 90.00 90.00
Closest atoms and distances in Å follow each position.
Sites, in units of the cell vectors:
Nd  0.5000  0.2684  0.1994  1 Ir 2.80, 2 Br 3.09
Nd  0.5000  0.7316  0.8006  1 Ir 2.80, 2 Br 3.09
Nd  0.0000  0.3034  0.8061  2 Ir 2.81
Nd  0.0000  0.6966  0.1939  2 Ir 2.81
Ir  0.5000  0.5000  0.0000  6 Nd 2.80-2.81
I  0.5000  0.0000  0.5000  6 Nd 3.60-3.72
I  0.0000  0.5000  0.5000  6 Nd 3.34-3.35
Br  0.0000  0.0000  0.0000  6 Nd 3.09-3.26

Computed properties:
Uncorrected energy: -40.4 eV per formula unit
Size of the total moment: 0.00 μB per formula unit
Space-group type: P2/m
ΔE_f (raw): -963 meV/atom

[3]
The following is a DFT calculation (PBE) of an optimized crystal structure of Nd6Ir2I3Br.

a b c (Å): 7.5421 7.5421 8.3580
angles (deg): 98.65 98.65 119.89
Closest atoms and distances in Å follow each position.
Sites, in units of the cell vectors:
Nd  0.9356  0.5644  0.8086  2 Ir 2.83
Nd  0.6930  0.6930  0.1892  2 Ir 2.83
Nd  0.0644  0.4356  0.1914  2 Ir 2.83
Nd  0.5644  0.9356  0.8086  2 Ir 2.83
Nd  0.3070  0.3070  0.8108  2 Ir 2.83
Nd  0.4356  0.0644  0.1914  2 Ir 2.83
Ir  0.3328  0.6672  0.0000  6 Nd 2.83
Ir  0.6672  0.3328  0.0000  6 Nd 2.83
I  0.1596  0.8404  0.5000  6 Nd 3.37-3.64
I  0.8404  0.1596  0.5000  6 Nd 3.37-3.64
I  0.5000  0.5000  0.5000  6 Nd 3.34-3.63
Br  0.0000  0.0000  0.0000  6 Nd 3.18-3.19

Computed properties:
Uncorrected energy: -64.7 eV per formula unit
Size of the total moment: 0.00 μB per formula unit
Space-group type: C2/m
ΔE_f (raw): -1006 meV/atom

[4]
The following is a DFT calculation (PBE) of an optimized crystal structure of IrIBrO2.

a b c (Å): 3.7990 3.7990 8.2084
angles (deg): 90.00 90.00 90.00
Closest atoms and distances in Å follow each position.
Sites, in units of the cell vectors:
I  0.0000  0.0000  0.5000  4 Ir 2.69
Ir  0.5000  0.5000  0.5000  4 I 2.69
O  0.0000  0.5000  0.0000  2 Br 1.90
O  0.5000  0.0000  0.0000  2 Br 1.90
Br  0.0000  0.0000  0.0000  4 O 1.90

Computed properties:
Uncorrected energy: -17.0 eV per formula unit
Size of the total moment: 0.00 μB per formula unit
Space-group type: P4/mmm
ΔE_f (raw): 1001 meV/atom
Energy above the lowest structure with this stoichiometry: 94.25 kJ per mole of atoms

[5]
The following is a DFT calculation (PBE) of an optimized crystal structure of IrIBrO2.

a b c (Å): 3.8881 3.8881 8.2655
angles (deg): 90.00 90.00 90.00
Closest atoms and distances in Å follow each position.
Sites, in units of the cell vectors:
I  0.0000  0.0000  0.5000  4 Br 2.75
Ir  0.0000  0.0000  0.0000  4 O 1.94
O  0.0000  0.5000  0.0000  2 Ir 1.94
O  0.5000  0.0000  0.0000  2 Ir 1.94
Br  0.5000  0.5000  0.5000  4 I 2.75

Computed properties:
Uncorrected energy: -21.9 eV per formula unit
Size of the total moment: 0.54 μB per formula unit
Space-group type: P4/mmm
ΔE_f (raw): 24 meV/atom
Energy above the lowest structure with this stoichiometry: 0.00 kJ per mole of atoms

[6]
The following is a DFT calculation (PBE) of an optimized crystal structure of Pr4IrIBr2.

a b c (Å): 4.2165 8.2633 7.8390
angles (deg): 108.56 90.00 90.00
Closest atoms and distances in Å follow each position.
Sites, in units of the cell vectors:
Pr  0.5000  0.2986  0.2333  1 Ir 2.84, 2 Br 3.06
Pr  0.5000  0.7014  0.7667  1 Ir 2.84, 2 Br 3.06
Pr  0.0000  0.2996  0.7957  2 Ir 2.84
Pr  0.0000  0.7004  0.2043  2 Ir 2.84
Ir  0.5000  0.5000  0.0000  6 Pr 2.84
I  0.0000  0.0000  0.0000  6 Pr 3.32-3.35
Br  0.5000  0.0000  0.5000  6 Pr 3.51-3.71
Br  0.0000  0.5000  0.5000  6 Pr 3.06-3.25

Computed properties:
Uncorrected energy: -41.0 eV per formula unit
Size of the total moment: 0.00 μB per formula unit
Space-group type: P2/m
ΔE_f (raw): -1013 meV/atom